## Y2TaZnTe (PBE)

Data for a relaxed structure of Y2TaZnTe.

Unit cell a=5.366 b=5.366 c=4.945 alpha=90.00 beta=90.00 gamma=90.00
Fractional positions:
Y: 0.000 0.500 0.000
Y: 0.500 0.000 0.000
Ta: 0.000 0.000 0.500
Zn: 0.500 0.500 0.000
Te: 0.500 0.500 0.500

Computed properties:
electronic total energy	-24.89	eV/f.u.
magnetization	2.3	μB/f.u.
formation energy (no corrections)	0.861	eV per atom
symmetry	P4/mmm (123)